1.
The following is a PBE calculation of Pm8Zn2Cu after structural relaxation, from Alexandria via LeMat-Bulk.

abc: 18.140 5.192 6.863
angles: 90.00 103.20 90.00
Space group C2/m (No. 12)
One atom of each set of equivalent atoms:
1 Pm 0.027 0.000 0.274
2 Pm 0.090 0.500 0.951
3 Pm 0.160 0.500 0.464
4 Pm 0.201 0.000 0.813
5 Zn 0.191 0.000 0.238
6 Cu 0.000 0.500 0.500

Values from the calculation:
Calculated formation energy in eV per atom: -0.10
Offset from the most stable computed form in meV/atom: 0


2.
The following is a PBE calculation of Pm5ZnCu4 after structural relaxation, from Alexandria via LeMat-Bulk.

abc: 3.586 3.586 17.948
angles: 90.00 90.00 90.00
Space group P4/mmm (No. 123)
One atom of each set of equivalent atoms:
1 Pm 0.000 0.000 0.000
2 Pm 0.000 0.000 0.199
3 Pm 0.000 0.000 0.397
4 Zn 0.500 0.500 0.500
5 Cu 0.500 0.500 0.098
6 Cu 0.500 0.500 0.298

Values from the calculation:
Calculated formation energy in eV per atom: -0.19


3.
The following is a PBE calculation of Pm2Zn6Cu3 after structural relaxation, from Alexandria via LeMat-Bulk.

abc: 7.4018 7.4018 4.1856
angles: 90.00 90.00 120.00
Space group P-62m (No. 189)
One atom of each set of equivalent atoms:
1 Pm 0.3333 0.6667 0.0000
2 Zn 0.0000 0.1998 0.0000
3 Zn 0.0000 0.7273 0.5000
4 Cu 0.0000 0.3900 0.5000

Values from the calculation:
Calculated formation energy in eV per atom: -0.21


4.
The following is a PBE calculation of PmZnCu after structural relaxation, from Alexandria via LeMat-Bulk.

abc: 4.4198 4.4198 3.6465
angles: 90.00 90.00 120.00
Space group P-6m2 (No. 187)
One atom of each set of equivalent atoms:
1 Pm 0.0000 0.0000 0.0000
2 Zn 0.3333 0.6667 0.5000
3 Cu 0.6667 0.3333 0.5000

Values from the calculation:
Calculated formation energy in eV per atom: -0.29
Offset from the most stable computed form in meV/atom: 5